Entry 1:
First-principles (PBE-GGA) data for UBe17Zn after structural relaxation, as listed in the Alexandria database.

a = 5.7282 Å, b = 5.7282 Å, c = 5.7282 Å
α = 83.24°, β = 83.24°, γ = 83.24°
Closest atoms and distances in Å follow each position.
Fractional positions:
U 0.0000 0.0000 0.0000  19 Be 2.72-2.87
Be 0.1474 0.6652 0.6652  10 Be 2.14-2.38
Be 0.3142 0.3142 0.7968  9 Be 2.21-2.34
Be 0.3142 0.7968 0.3142  9 Be 2.21-2.34
Be 0.3681 0.6501 0.9446  8 Be 2.14-2.36
Be 0.3681 0.9446 0.6501  8 Be 2.14-2.36
Be 0.4992 0.9965 0.9965  9 Be 2.15-2.36
Be 0.5572 0.5572 0.5572  7 Be 2.16-2.38
Be 0.6501 0.3681 0.9446  8 Be 2.14-2.36
Be 0.6501 0.9446 0.3681  8 Be 2.14-2.36
Be 0.6652 0.1474 0.6652  10 Be 2.14-2.38
Be 0.6652 0.6652 0.1474  10 Be 2.14-2.38
Be 0.7532 0.7532 0.7532  7 Be 2.16-2.35
Be 0.7968 0.3142 0.3142  9 Be 2.21-2.34
Be 0.9446 0.3681 0.6501  8 Be 2.14-2.36
Be 0.9446 0.6501 0.3681  8 Be 2.14-2.36
Be 0.9965 0.4992 0.9965  9 Be 2.15-2.36
Be 0.9965 0.9965 0.4992  9 Be 2.15-2.36
Zn 0.2951 0.2951 0.2951  16 Be 2.64-2.90

Energy of formation (kJ/mol of atoms): 7.78
Volume (Å³ per cell): 184.3

Entry 2:
First-principles (PBE-GGA) data for PuInNi after structural relaxation, as listed in the Alexandria database.

a = 6.6408 Å, b = 5.5559 Å, c = 5.2701 Å
α = 75.62°, β = 54.14°, γ = 50.24°
Closest atoms and distances in Å follow each position.
Fractional positions:
Pu 0.1663 0.8337 0.1663  4 Ni 2.88, 3 Pu 3.01-3.09
Pu 0.8337 0.1663 0.8337  4 Ni 2.88, 3 Pu 3.01-3.09
In 0.3362 0.3362 0.6638  4 Ni 2.76
In 0.6638 0.6638 0.3362  4 Ni 2.76
Ni 0.2500 0.2500 0.2500  2 Ni 2.70, 4 In 2.76, 4 Pu 2.88
Ni 0.7500 0.7500 0.7500  2 Ni 2.70, 4 In 2.76, 4 Pu 2.88

Energy of formation (kJ/mol of atoms): -16.41
Volume (Å³ per cell): 118.6

Question: Number 1 is which compound?
Answer: UBe17Zn

Question: Among the records above, which one has the lowest energy of formation?
Answer: PuInNi

Question: Which of these has the lowest energy of formation?
Answer: PuInNi